## SrCaAg2 (PBEsol)

Data for crystalline SrCaAg2 at its relaxed geometry.

Lattice parameters (Å, degrees): 3.7461 3.7461 7.4040 90.00 90.00 90.00
Atoms (fractional coordinates):
Sr 0.5000 0.5000 0.5000
Ca 0.5000 0.5000 0.0000
Ag 0.0000 0.0000 0.7782
Ag 0.0000 0.0000 0.2218

- Energy of formation: -1.0 eV/f.u.
- V: 103.9 Å³/cell
- Raw total energy: -2.900 eV per atom
- SG: P4/mmm

=====

## HgGeSe3 (PBEsol)

Data for crystalline HgGeSe3 at its relaxed geometry.

Lattice parameters (Å, degrees): 5.1154 5.1154 5.1154 90.00 90.00 90.00
Atoms (fractional coordinates):
Ge 0.5000 0.5000 0.5000
Hg 0.0000 0.0000 0.0000
Se 0.0000 0.5000 0.0000
Se 0.0000 0.0000 0.5000
Se 0.5000 0.0000 0.0000

- Raw formation energy: 0.69 eV/atom
- V: 133.9 Å³/cell
- Raw total energy: -2.718 eV per atom
- SG: Pm-3m

=====

raw total energy of number 2 (HgGeSe3)? -2.718 eV per atom

=====

Among the records above, which one has the highest V? HgGeSe3

=====

Repeat the second record exactly.
## HgGeSe3 (PBEsol)

Data for crystalline HgGeSe3 at its relaxed geometry.

Lattice parameters (Å, degrees): 5.1154 5.1154 5.1154 90.00 90.00 90.00
Atoms (fractional coordinates):
Ge 0.5000 0.5000 0.5000
Hg 0.0000 0.0000 0.0000
Se 0.0000 0.5000 0.0000
Se 0.0000 0.0000 0.5000
Se 0.5000 0.0000 0.0000

- Raw formation energy: 0.69 eV/atom
- V: 133.9 Å³/cell
- Raw total energy: -2.718 eV per atom
- SG: Pm-3m